No. 1
{"formula": "KCa3Sm2Te6", "functional": "PBE", "state": "relaxed", "lattice": [[-3.329, -0.612, 2.980], [-1.203, -8.586, -3.109], [8.324, -0.875, 5.708]], "species": ["Te", "Te", "K", "Te", "Te", "Sm", "Ca", "Sm", "Te", "Ca", "Ca", "Te"], "fractional_positions": [[0.325, 0.906, 0.650], [0.997, 0.731, 0.993], [0.500, 0.000, 0.000], [0.669, 0.585, 0.337], [0.675, 0.094, 0.350], [0.835, 0.665, 0.669], [0.162, 0.836, 0.323], [0.165, 0.335, 0.331], [0.331, 0.415, 0.663], [0.500, 0.500, 0.000], [0.838, 0.164, 0.677], [0.003, 0.269, 0.007]], "m_tot_mub_per_cell": 0.00, "e_tot_ev_per_cell": -53.2}

***

No. 2
{"formula": "KCaSm2Te4", "functional": "PBE", "state": "relaxed", "lattice": [[-4.041, -0.941, -1.723], [2.831, -7.043, -2.794], [-1.077, -5.470, 5.513]], "species": ["Sm", "K", "Te", "Te", "Sm", "Ca", "Te", "Te"], "fractional_positions": [[0.500, 0.000, 0.500], [0.000, 0.500, 0.500], [0.000, 0.241, 0.246], [0.500, 0.768, 0.236], [0.000, 0.000, 0.000], [0.500, 0.500, 0.000], [0.500, 0.232, 0.764], [0.000, 0.759, 0.754]], "m_tot_mub_per_cell": 0.00, "e_tot_ev_per_cell": -36.5}

***

No. 3
{"formula": "KCa2Sn2", "functional": "PBE", "state": "relaxed", "lattice": [[-0.388, -2.030, -5.363], [4.708, -3.181, 0.864], [-1.347, -7.251, -0.238]], "species": ["Sn", "Ca", "Ca", "Sn", "K"], "fractional_positions": [[0.250, 0.750, 0.500], [0.345, 0.345, 0.311], [0.655, 0.655, 0.689], [0.750, 0.250, 0.500], [0.000, 0.000, 0.000]], "m_tot_mub_per_cell": 0.00, "e_tot_ev_per_cell": -13.8, "e_form_ev_per_atom": -0.139, "de_polymorph_kj_per_mol_atoms": 32.4}

***

No. 4
{"formula": "KCa3Sn", "functional": "PBE", "state": "relaxed", "lattice": [[5.997, 0.000, 0.000], [0.000, 5.997, 0.000], [0.000, 0.000, 5.997]], "species": ["Ca", "Ca", "Ca", "Sn", "K"], "fractional_positions": [[0.000, 0.500, 0.000], [0.500, 0.000, 0.000], [0.000, 0.000, 0.500], [0.500, 0.500, 0.500], [0.000, 0.000, 0.000]], "m_tot_mub_per_cell": 0.63, "e_tot_ev_per_cell": -6.9, "e_form_ev_per_atom": 0.846, "de_polymorph_kj_per_mol_atoms": 95.7}